# 1
Computed, not measured: a relaxed LiLuZrPd crystal at the GGA-PBE level of DFT.

Values from the calculation:
Space group: No. 216
Energy relative to the elements, eV/atom: -0.28
Energy, eV/atom: -5.32

abc: 4.823 4.823 4.823
angles: 60.00 60.00 60.00
Fractional coordinates of all 4 atoms:
Li: 0.000 0.000 0.000
Zr: 0.250 0.250 0.250
Pd: 0.500 0.500 0.500
Lu: 0.750 0.750 0.750

***

# 2
Computed, not measured: a relaxed LiPmLu crystal at the GGA-PBE level of DFT.

Values from the calculation:
Space group: No. 156
Energy relative to the elements, eV/atom: 0.12
Energy, eV/atom: -3.61

abc: 3.477 3.477 8.316
angles: 90.00 90.00 120.00
Fractional coordinates of all 3 atoms:
Li: 0.000 0.000 0.994
Pm: 0.667 0.333 0.333
Lu: 0.333 0.667 0.673

***

# 3
Computed, not measured: a relaxed Li4PmLu crystal at the GGA-PBE level of DFT.

Values from the calculation:
Space group: No. 216
Energy relative to the elements, eV/atom: 0.12
Energy, eV/atom: -2.71

abc: 5.843 5.843 5.843
angles: 60.00 60.00 60.00
Fractional coordinates of all 6 atoms:
Li: 0.626 0.123 0.626
Lu: 0.000 0.000 0.000
Li: 0.123 0.626 0.626
Li: 0.626 0.626 0.123
Li: 0.626 0.626 0.626
Pm: 0.250 0.250 0.250

***

# 4
Computed, not measured: a relaxed LiPmLu crystal at the GGA-PBE level of DFT.

Values from the calculation:
Space group: No. 107
Energy relative to the elements, eV/atom: 0.09
Energy, eV/atom: -3.64

abc: 3.661 3.661 6.704
angles: 105.85 105.85 90.00
Fractional coordinates of all 3 atoms:
Pm: 0.323 0.323 0.646
Lu: 0.016 0.016 0.032
Li: 0.661 0.661 0.323

***

# 5
Computed, not measured: a relaxed LiPmLuPt crystal at the GGA-PBE level of DFT.

Values from the calculation:
Space group: No. 216
Energy relative to the elements, eV/atom: -0.64
Energy, eV/atom: -4.95

abc: 4.998 4.998 4.998
angles: 60.00 60.00 60.00
Fractional coordinates of all 4 atoms:
Li: 0.250 0.250 0.250
Lu: 0.500 0.500 0.500
Pt: 0.750 0.750 0.750
Pm: 0.000 0.000 0.000

***

# 6
Computed, not measured: a relaxed LiPmLuRe crystal at the GGA-PBE level of DFT.

Values from the calculation:
Space group: No. 216
Energy relative to the elements, eV/atom: 0.10
Energy, eV/atom: -5.81

abc: 4.934 4.934 4.934
angles: 60.00 60.00 60.00
Fractional coordinates of all 4 atoms:
Pm: 0.000 0.000 0.000
Lu: 0.500 0.500 0.500
Re: 0.750 0.750 0.750
Li: 0.250 0.250 0.250

***

# 7
Computed, not measured: a relaxed LiPmLuRh crystal at the GGA-PBE level of DFT.

Values from the calculation:
Space group: No. 216
Energy relative to the elements, eV/atom: -0.46
Energy, eV/atom: -5.09

abc: 4.949 4.949 4.949
angles: 60.00 60.00 60.00
Fractional coordinates of all 4 atoms:
Pm: 0.750 0.750 0.750
Li: 0.000 0.000 0.000
Lu: 0.250 0.250 0.250
Rh: 0.500 0.500 0.500

***

# 8
Computed, not measured: a relaxed LiPmLuRu crystal at the GGA-PBE level of DFT.

Values from the calculation:
Space group: No. 216
Energy relative to the elements, eV/atom: -0.25
Energy, eV/atom: -5.37

abc: 4.923 4.923 4.923
angles: 60.00 60.00 60.00
Fractional coordinates of all 4 atoms:
Ru: 0.250 0.250 0.250
Lu: 0.500 0.500 0.500
Li: 0.750 0.750 0.750
Pm: 0.000 0.000 0.000

***

# 9
Computed, not measured: a relaxed LiPmLuSi crystal at the GGA-PBE level of DFT.

Values from the calculation:
Space group: No. 216
Energy relative to the elements, uncorrected, eV per atom: -0.33
Energy, eV/atom: -4.48

abc: 4.981 4.981 4.981
angles: 60.00 60.00 60.00
Fractional coordinates of all 4 atoms:
Si: 0.750 0.750 0.750
Lu: 0.000 0.000 0.000
Pm: 0.500 0.500 0.500
Li: 0.250 0.250 0.250

***

# 10
Computed, not measured: a relaxed LiPmSmLu crystal at the GGA-PBE level of DFT.

Values from the calculation:
Space group: No. 216
Energy relative to the elements, eV/atom: 0.14
Energy, eV/atom: -3.83

abc: 5.515 5.515 5.515
angles: 60.00 60.00 60.00
Fractional coordinates of all 4 atoms:
Li: 0.000 0.000 0.000
Lu: 0.500 0.500 0.500
Sm: 0.750 0.750 0.750
Pm: 0.250 0.250 0.250

***

# 11
Computed, not measured: a relaxed LiPmLuSn crystal at the GGA-PBE level of DFT.

Values from the calculation:
Space group: No. 216
Energy relative to the elements, eV/atom: -0.39
Energy, eV/atom: -4.19

abc: 5.230 5.230 5.230
angles: 60.00 60.00 60.00
Fractional coordinates of all 4 atoms:
Lu: 0.000 0.000 0.000
Sn: 0.750 0.750 0.750
Pm: 0.500 0.500 0.500
Li: 0.250 0.250 0.250

***

# 12
Computed, not measured: a relaxed LiTbPmLu crystal at the GGA-PBE level of DFT.

Values from the calculation:
Space group: No. 216
Energy relative to the elements, eV/atom: 0.15
Energy, eV/atom: -3.80

abc: 5.483 5.483 5.483
angles: 60.00 60.00 60.00
Fractional coordinates of all 4 atoms:
Tb: 0.250 0.250 0.250
Pm: 0.750 0.750 0.750
Lu: 0.500 0.500 0.500
Li: 0.000 0.000 0.000